(1)
DFT (PBE with a Hubbard U) results for a relaxed Ac2TiNiO6 crystal.

Total magnetization in μB per formula unit: 2.0
VASP energy in eV/cell: -155.3

abc: 5.6965 5.6597 8.0152
angles: 90.00 90.07 90.00
Site moments in Bohr magnetons follow the coordinates.
Positions (direct):
Ti1 0.0000 0.5000 0.0000  0.06
O1 0.0606 0.4922 0.7574  0.03
Ac1 0.0036 0.9817 0.2505  0.00
Ni1 0.5000 0.0000 0.0000  1.76
O2 0.4394 0.9922 0.7426  0.03
O3 0.7640 0.7782 0.5318  0.03
O4 0.9394 0.5078 0.2426  0.03
O5 0.7793 0.7660 0.9675  0.03
Ac2 0.4964 0.4817 0.2495  0.00
Ti2 0.5000 0.0000 0.5000  0.06
Ni2 0.0000 0.5000 0.5000  1.76
O6 0.2640 0.7218 0.0318  0.03
O7 0.7207 0.2660 0.5325  0.03
O8 0.7360 0.2782 0.9682  0.03
Ac3 0.5036 0.5183 0.7505  0.00
O9 0.5606 0.0078 0.2574  0.03
O10 0.2207 0.2340 0.0325  0.03
Ac4 0.9964 0.0183 0.7495  0.00
O11 0.2360 0.2218 0.4682  0.03
O12 0.2793 0.7340 0.4675  0.03



(2)
DFT (PBE with a Hubbard U) results for a relaxed Ac2TmNiO6 crystal.

Total magnetization in μB per formula unit: 1.0
VASP energy in eV/cell: -72.6

abc: 5.7797 5.6377 5.9728
angles: 118.16 120.82 90.00
Site moments in Bohr magnetons follow the coordinates.
Positions (direct):
Ni1 0.5000 0.0000 0.0000  1.13
Ac1 0.7540 0.7436 0.4872  0.00
Ac2 0.2460 0.2564 0.5128  0.00
O1 0.2214 0.1907 0.9053  -0.05
O2 0.6646 0.2493 0.4986  0.05
O3 0.7786 0.8093 0.0947  -0.05
O4 0.3354 0.7507 0.5014  0.05
Tm1 0.0000 0.5000 0.0000  0.01
O5 0.7786 0.2854 0.0947  -0.05
O6 0.2214 0.7146 0.9053  -0.05



(3)
DFT (PBE with a Hubbard U) results for a relaxed AcU2NiO8 crystal.

Total magnetization in μB per formula unit: 3.0
VASP energy in eV/cell: -103.1

abc: 5.1040 5.1101 7.0775
angles: 90.00 90.00 85.90
Site moments in Bohr magnetons follow the coordinates.
Positions (direct):
O1 0.6782 0.6788 0.0000  -0.01
Ni1 0.0000 0.0000 0.0000  1.80
O2 0.6684 0.6699 0.5000  -0.02
Ac1 0.0000 0.0000 0.5000  0.00
O3 0.2080 0.7907 0.2173  0.00
O4 0.3316 0.3301 0.5000  -0.02
O5 0.7920 0.2093 0.2173  0.00
O6 0.3218 0.3212 0.0000  -0.01
U1 0.5000 0.5000 0.7615  0.60
U2 0.5000 0.5000 0.2385  0.60
O7 0.2080 0.7907 0.7827  0.00
O8 0.7920 0.2093 0.7827  0.00



(4)
DFT (PBE with a Hubbard U) results for a relaxed AcV2NiO8 crystal.

Total magnetization in μB per formula unit: 1.0
VASP energy in eV/cell: -83.9

abc: 5.8246 5.8246 6.2678
angles: 90.00 90.00 120.00
Site moments in Bohr magnetons follow the coordinates.
Positions (direct):
O1 0.1648 0.3297 0.7029  -0.07
O2 0.8352 0.6703 0.2971  -0.07
O3 0.6703 0.8352 0.7029  -0.07
O4 0.1648 0.8352 0.7029  -0.07
O5 0.3297 0.1648 0.2971  -0.07
O6 0.6667 0.3333 0.6487  -0.18
Ni1 0.0000 0.0000 0.5000  1.66
O7 0.3333 0.6667 0.3513  -0.18
Ac1 0.0000 0.0000 0.0000  0.00
V1 0.3333 0.6667 0.6155  0.11
V2 0.6667 0.3333 0.3846  0.11
O8 0.8352 0.1648 0.2971  -0.07



(5)
DFT (PBE with a Hubbard U) results for a relaxed Ac2YNiO6 crystal.

Total magnetization in μB per formula unit: 1.0
VASP energy in eV/cell: -146.8

abc: 5.5980 5.9587 8.5635
angles: 90.00 90.00 90.00
Site moments in Bohr magnetons follow the coordinates.
Positions (direct):
Ni1 0.0000 0.7684 0.0000  1.02
Y1 0.0000 0.7247 0.5000  0.01
O1 0.2409 0.9924 0.0000  -0.03
O2 0.7591 0.9924 0.0000  -0.03
O3 0.2591 0.0076 0.5000  -0.03
Ni2 0.5000 0.2316 0.5000  1.02
Ac1 0.0000 0.2175 0.2729  0.00
Y2 0.5000 0.2753 0.0000  0.01
O4 0.0000 0.7898 0.7534  0.06
Ac2 0.5000 0.7825 0.2271  0.00
Ac3 0.5000 0.7825 0.7729  0.00
O5 0.0000 0.7898 0.2466  0.06
Ac4 0.0000 0.2175 0.7271  0.00
O6 0.7554 0.5498 0.0000  -0.04
O7 0.5000 0.2102 0.2534  0.06
O8 0.7409 0.0076 0.5000  -0.03
O9 0.2554 0.4502 0.5000  -0.04
O10 0.2446 0.5498 0.0000  -0.04
O11 0.7446 0.4502 0.5000  -0.04
O12 0.5000 0.2102 0.7466  0.06



(6)
DFT (PBE with a Hubbard U) results for a relaxed Ac3YNi2O9 crystal.

Total magnetization in μB per formula unit: 2.0
VASP energy in eV/cell: -105.6

abc: 5.6995 5.6995 7.1886
angles: 90.00 90.00 120.00
Site moments in Bohr magnetons follow the coordinates.
Positions (direct):
O1 0.8280 0.1720 0.6887  -0.04
O2 0.1720 0.8280 0.3113  -0.04
O3 0.6561 0.8280 0.3113  -0.04
Ac1 0.6667 0.3333 0.2958  0.00
Y1 0.0000 0.0000 0.5000  0.01
Ni1 0.6667 0.3333 0.8379  1.32
O4 0.3439 0.1720 0.6887  -0.04
O5 0.8280 0.6561 0.6887  -0.04
O6 0.0000 0.5000 0.0000  -0.11
O7 0.5000 0.0000 0.0000  -0.11
Ni2 0.3333 0.6667 0.1621  1.32
O8 0.1720 0.3439 0.3113  -0.04
Ac2 0.3333 0.6667 0.7042  0.00
Ac3 0.0000 0.0000 0.0000  0.01
O9 0.5000 0.5000 0.0000  -0.11